The following is a DFT calculation (PBE) of an optimized crystal structure of Rb2CeMg3Cl12.

Unit cell a=9.7563 b=9.7563 c=9.7563 alpha=55.92 beta=55.92 gamma=55.92
Last column: nearest neighbours and their distance in Å.
Fractional coordinates of all 18 atoms:
Rb  0.5829  0.5829  0.5829  3 Cl 3.54
Rb  0.4171  0.4171  0.4171  3 Cl 3.54
Ce  0.0000  0.0000  0.0000  6 Cl 2.64
Mg  0.5000  0.0000  0.0000  6 Cl 2.47-2.66
Mg  0.0000  0.5000  0.0000  6 Cl 2.47-2.66
Mg  0.0000  0.0000  0.5000  6 Cl 2.47-2.66
Cl  0.3192  0.3192  0.9184  2 Mg 2.47
Cl  0.9222  0.9222  0.3357  1 Ce 2.64, 1 Mg 2.66
Cl  0.3357  0.9222  0.9222  1 Ce 2.64, 1 Mg 2.66
Cl  0.9184  0.3192  0.3192  2 Mg 2.47
Cl  0.9222  0.3357  0.9222  1 Ce 2.64, 1 Mg 2.66
Cl  0.3192  0.9184  0.3192  2 Mg 2.47
Cl  0.6808  0.6808  0.0816  2 Mg 2.47
Cl  0.0778  0.0778  0.6643  1 Ce 2.64, 1 Mg 2.66
Cl  0.6643  0.0778  0.0778  1 Ce 2.64, 1 Mg 2.66
Cl  0.0816  0.6808  0.6808  2 Mg 2.47
Cl  0.0778  0.6643  0.0778  1 Ce 2.64, 1 Mg 2.66
Cl  0.6808  0.0816  0.6808  2 Mg 2.47

Computed properties:
**DFT total energy**: -3.791 eV/atom
**V**: 594.57 Å³ per cell
**Formation energy from raw total energies**: -1857 meV per atom
**Magnetization**: 0.00 μB per formula unit

The following is a DFT calculation (PBE) of an optimized crystal structure of AlFe3.

Unit cell a=2.5555 b=2.5555 c=7.5289 alpha=90.00 beta=90.00 gamma=90.00
Last column: nearest neighbours and their distance in Å.
Fractional coordinates of all 4 atoms:
Fe  0.5000  0.5000  0.7545  8 Fe 2.56-2.63, 4 Al 2.59
Fe  0.0000  0.0000  0.5000  12 Fe 2.56-2.63
Fe  0.5000  0.5000  0.2455  8 Fe 2.56-2.63, 4 Al 2.59
Al  0.0000  0.0000  0.0000  4 Al 2.56, 8 Fe 2.59

Computed properties:
**DFT total energy**: -7.319 eV/atom
**V**: 49.17 Å³ per cell
**Magnetization**: 6.93 μB per formula unit
**Formation energy**: -0.037 eV/atom